(1)
Here is an optimized crystal structure of PuInSnPd from Alexandria via LeMat-Bulk. Energies are from PBE-GGA.

Values from the calculation:
The calculated volume is 360.40 Å³ per cell. The value obtained for the density of states at the Fermi level is 13.26 states/eV/f.u. The energy of formation from the pure elements comes out at -1.045 eV/f.u.

Cell: 7.1164 7.1164 7.1164 Å, 90.00 90.00 90.00°
Closest atoms and distances in Å follow each position.
Atoms (fractional coordinates):
1 Pu 0.0000 0.0000 0.0000  4 Sn 3.08, 4 In 3.08
2 Pu 0.0000 0.5000 0.5000  4 Sn 3.08, 4 In 3.08
3 Pu 0.5000 0.0000 0.5000  4 Sn 3.08, 4 In 3.08
4 Pu 0.5000 0.5000 0.0000  4 Sn 3.08, 4 In 3.08
5 In 0.2500 0.2500 0.7500  4 Pu 3.08, 4 Pd 3.08
6 In 0.2500 0.7500 0.2500  4 Pu 3.08, 4 Pd 3.08
7 In 0.7500 0.2500 0.2500  4 Pu 3.08, 4 Pd 3.08
8 In 0.7500 0.7500 0.7500  4 Pu 3.08, 4 Pd 3.08
9 Sn 0.2500 0.2500 0.2500  4 Pu 3.08, 4 Pd 3.08
10 Sn 0.2500 0.7500 0.7500  4 Pd 3.08, 4 Pu 3.08
11 Sn 0.7500 0.2500 0.7500  4 Pd 3.08, 4 Pu 3.08
12 Sn 0.7500 0.7500 0.2500  4 Pd 3.08, 4 Pu 3.08
13 Pd 0.0000 0.0000 0.5000  4 In 3.08, 4 Sn 3.08
14 Pd 0.0000 0.5000 0.0000  4 In 3.08, 4 Sn 3.08
15 Pd 0.5000 0.0000 0.0000  4 In 3.08, 4 Sn 3.08
16 Pd 0.5000 0.5000 0.5000  4 In 3.08, 4 Sn 3.08

=====

(2)
Here is an optimized crystal structure of Pu2InSn3Pd4 from Alexandria via LeMat-Bulk. Energies are from PBE-GGA.

Values from the calculation:
The calculated volume is 222.49 Å³ per cell. The value obtained for the density of states at the Fermi level is 30.86 states/eV/f.u. The energy of formation from the pure elements comes out at -4.979 eV/f.u.

Cell: 4.3838 4.3838 11.5775 Å, 90.00 90.00 90.00°
Closest atoms and distances in Å follow each position.
Atoms (fractional coordinates):
1 Pu 0.0000 0.5000 0.2486  8 Pd 3.35-3.62, 6 Sn 3.38-3.64, 2 In 3.64
2 Pu 0.5000 0.0000 0.7514  8 Pd 3.35-3.62, 6 Sn 3.38-3.64, 2 In 3.64
3 In 0.0000 0.0000 0.5000  4 Pd 2.74
4 Sn 0.0000 0.5000 0.8675  5 Pd 2.60-2.68
5 Sn 0.5000 0.0000 0.1325  5 Pd 2.60-2.68
6 Sn 0.5000 0.5000 0.5000  4 Pd 2.74
7 Pd 0.0000 0.0000 0.0000  4 Sn 2.68
8 Pd 0.0000 0.5000 0.6426  3 Sn 2.60-2.74, 2 In 2.74
9 Pd 0.5000 0.0000 0.3574  3 Sn 2.60-2.74, 2 In 2.74
10 Pd 0.5000 0.5000 0.0000  4 Sn 2.68

=====

(3)
Here is an optimized crystal structure of TbPuInPd from Alexandria via LeMat-Bulk. Energies are from PBE-GGA.

Values from the calculation:
The calculated volume is 395.77 Å³ per cell. The value obtained for the density of states at the Fermi level is 10.95 states/eV/f.u. The energy of formation from the pure elements comes out at -1.355 eV/f.u.

Cell: 7.3420 7.3420 7.3420 Å, 90.00 90.00 90.00°
Closest atoms and distances in Å follow each position.
Atoms (fractional coordinates):
1 Tb 0.0000 0.0000 0.0000  4 Pd 3.18, 4 In 3.18
2 Tb 0.0000 0.5000 0.5000  4 Pd 3.18, 4 In 3.18
3 Tb 0.5000 0.0000 0.5000  4 Pd 3.18, 4 In 3.18
4 Tb 0.5000 0.5000 0.0000  4 Pd 3.18, 4 In 3.18
5 Pu 0.0000 0.0000 0.5000  4 In 3.18, 4 Pd 3.18
6 Pu 0.0000 0.5000 0.0000  4 In 3.18, 4 Pd 3.18
7 Pu 0.5000 0.0000 0.0000  4 In 3.18, 4 Pd 3.18
8 Pu 0.5000 0.5000 0.5000  4 In 3.18, 4 Pd 3.18
9 In 0.2500 0.2500 0.2500  4 Tb 3.18, 4 Pu 3.18
10 In 0.2500 0.7500 0.7500  4 Tb 3.18, 4 Pu 3.18
11 In 0.7500 0.2500 0.7500  4 Tb 3.18, 4 Pu 3.18
12 In 0.7500 0.7500 0.2500  4 Tb 3.18, 4 Pu 3.18
13 Pd 0.2500 0.2500 0.7500  4 Tb 3.18, 4 Pu 3.18
14 Pd 0.2500 0.7500 0.2500  4 Pu 3.18, 4 Tb 3.18
15 Pd 0.7500 0.2500 0.2500  4 Pu 3.18, 4 Tb 3.18
16 Pd 0.7500 0.7500 0.7500  4 Pu 3.18, 4 Tb 3.18

=====

(4)
Here is an optimized crystal structure of PuTlInPd from Alexandria via LeMat-Bulk. Energies are from PBE-GGA.

Values from the calculation:
The calculated volume is 370.86 Å³ per cell. The value obtained for the density of states at the Fermi level is 12.70 states/eV/f.u. The energy of formation from the pure elements comes out at -0.736 eV/f.u.

Cell: 7.1846 7.1846 7.1846 Å, 90.00 90.00 90.00°
Closest atoms and distances in Å follow each position.
Atoms (fractional coordinates):
1 Pu 0.0000 0.0000 0.0000  4 Tl 3.11, 4 Pd 3.11
2 Pu 0.0000 0.5000 0.5000  4 Tl 3.11, 4 Pd 3.11
3 Pu 0.5000 0.0000 0.5000  4 Tl 3.11, 4 Pd 3.11
4 Pu 0.5000 0.5000 0.0000  4 Tl 3.11, 4 Pd 3.11
5 Tl 0.2500 0.2500 0.2500  4 In 3.11, 4 Pu 3.11
6 Tl 0.2500 0.7500 0.7500  4 In 3.11, 4 Pu 3.11
7 Tl 0.7500 0.2500 0.7500  4 In 3.11, 4 Pu 3.11
8 Tl 0.7500 0.7500 0.2500  4 In 3.11, 4 Pu 3.11
9 In 0.0000 0.0000 0.5000  4 Tl 3.11, 4 Pd 3.11
10 In 0.0000 0.5000 0.0000  4 Tl 3.11, 4 Pd 3.11
11 In 0.5000 0.0000 0.0000  4 Tl 3.11, 4 Pd 3.11
12 In 0.5000 0.5000 0.5000  4 Tl 3.11, 4 Pd 3.11
13 Pd 0.2500 0.2500 0.7500  4 In 3.11, 4 Pu 3.11
14 Pd 0.2500 0.7500 0.2500  4 In 3.11, 4 Pu 3.11
15 Pd 0.7500 0.2500 0.2500  4 In 3.11, 4 Pu 3.11
16 Pd 0.7500 0.7500 0.7500  4 In 3.11, 4 Pu 3.11

=====

(5)
Here is an optimized crystal structure of PuZnInPd from Alexandria via LeMat-Bulk. Energies are from PBE-GGA.

Values from the calculation:
The calculated volume is 326.65 Å³ per cell. The value obtained for the density of states at the Fermi level is 10.80 states/eV/f.u. The energy of formation from the pure elements comes out at -1.205 eV/f.u.

Cell: 6.8869 6.8869 6.8869 Å, 90.00 90.00 90.00°
Closest atoms and distances in Å follow each position.
Atoms (fractional coordinates):
1 Pu 0.0000 0.0000 0.0000  4 Pd 2.98, 4 Zn 2.98
2 Pu 0.0000 0.5000 0.5000  4 Pd 2.98, 4 Zn 2.98
3 Pu 0.5000 0.0000 0.5000  4 Pd 2.98, 4 Zn 2.98
4 Pu 0.5000 0.5000 0.0000  4 Pd 2.98, 4 Zn 2.98
5 Zn 0.2500 0.2500 0.2500  4 In 2.98, 4 Pu 2.98
6 Zn 0.2500 0.7500 0.7500  4 In 2.98, 4 Pu 2.98
7 Zn 0.7500 0.2500 0.7500  4 In 2.98, 4 Pu 2.98
8 Zn 0.7500 0.7500 0.2500  4 In 2.98, 4 Pu 2.98
9 In 0.0000 0.0000 0.5000  4 Pd 2.98, 4 Zn 2.98
10 In 0.0000 0.5000 0.0000  4 Pd 2.98, 4 Zn 2.98
11 In 0.5000 0.0000 0.0000  4 Pd 2.98, 4 Zn 2.98
12 In 0.5000 0.5000 0.5000  4 Pd 2.98, 4 Zn 2.98
13 Pd 0.2500 0.2500 0.7500  4 In 2.98, 4 Pu 2.98
14 Pd 0.2500 0.7500 0.2500  4 In 2.98, 4 Pu 2.98
15 Pd 0.7500 0.2500 0.2500  4 In 2.98, 4 Pu 2.98
16 Pd 0.7500 0.7500 0.7500  4 In 2.98, 4 Pu 2.98

=====

(6)
Here is an optimized crystal structure of Pu2Zn2InPd5 from Alexandria via LeMat-Bulk. Energies are from PBE-GGA.

Values from the calculation:
The calculated volume is 371.74 Å³ per cell. The value obtained for the density of states at the Fermi level is 31.56 states/eV/f.u. The energy of formation from the pure elements comes out at -4.637 eV/f.u.

Cell: 10.1063 10.1063 3.6396 Å, 90.00 90.00 90.00°
Closest atoms and distances in Å follow each position.
Atoms (fractional coordinates):
1 Pu 0.1755 0.3245 0.0000  3 Zn 2.88-3.06, 6 Pd 3.10-3.22
2 Pu 0.3245 0.8245 0.0000  3 Zn 2.88-3.06, 6 Pd 3.10-3.22
3 Pu 0.6755 0.1755 0.0000  3 Zn 2.88-3.06, 6 Pd 3.10-3.22
4 Pu 0.8245 0.6755 0.0000  3 Zn 2.88-3.06, 6 Pd 3.10-3.22
5 Zn 0.1227 0.6227 0.0000  6 Pd 2.53-2.59
6 Zn 0.3773 0.1227 0.0000  6 Pd 2.53-2.59
7 Zn 0.6227 0.8773 0.0000  6 Pd 2.53-2.59
8 Zn 0.8773 0.3773 0.0000  6 Pd 2.53-2.59
9 In 0.0000 0.0000 0.0000  8 Pd 2.83
10 In 0.5000 0.5000 0.0000  8 Pd 2.83
11 Pd 0.0000 0.5000 0.5000  4 Zn 2.53
12 Pd 0.0639 0.7950 0.5000  2 Zn 2.59, 2 In 2.83
13 Pd 0.2050 0.0639 0.5000  2 Zn 2.59, 2 In 2.83
14 Pd 0.2950 0.5639 0.5000  2 Zn 2.59, 2 In 2.83
15 Pd 0.4361 0.2950 0.5000  2 Zn 2.59, 2 In 2.83
16 Pd 0.5000 0.0000 0.5000  4 Zn 2.53
17 Pd 0.5639 0.7050 0.5000  2 Zn 2.59, 2 In 2.83
18 Pd 0.7050 0.4361 0.5000  2 Zn 2.59, 2 In 2.83
19 Pd 0.7950 0.9361 0.5000  2 Zn 2.59, 2 In 2.83
20 Pd 0.9361 0.2050 0.5000  2 Zn 2.59, 2 In 2.83

=====

(7)
Here is an optimized crystal structure of Rb3InPd from Alexandria via LeMat-Bulk. Energies are from PBE-GGA.

Values from the calculation:
The calculated volume is 270.05 Å³ per cell. As for the relative energy among the computed polymorphs: 0.000 kcal/mol of atoms. The value obtained for the density of states at the Fermi level is 7.99 states/eV/f.u. The energy of formation from the pure elements comes out at 1.345 eV/f.u.

Cell: 6.4637 6.4637 6.4637 Å, 90.00 90.00 90.00°
Closest atoms and distances in Å follow each position.
Atoms (fractional coordinates):
1 Rb 0.0000 0.0000 0.5000  2 Pd 3.23
2 Rb 0.0000 0.5000 0.0000  2 Pd 3.23
3 Rb 0.5000 0.0000 0.0000  2 Pd 3.23
4 In 0.5000 0.5000 0.5000  12 Rb 4.57
5 Pd 0.0000 0.0000 0.0000  6 Rb 3.23

=====

(8)
Here is an optimized crystal structure of RbIn5Pd2 from Alexandria via LeMat-Bulk. Energies are from PBE-GGA.

Values from the calculation:
The calculated volume is 411.98 Å³ per cell. The value obtained for the density of states at the Fermi level is 3.45 states/eV/f.u. The energy of formation from the pure elements comes out at -2.363 eV/f.u.

Cell: 4.4790 8.1037 11.3504 Å, 90.00 90.00 90.00°
Closest atoms and distances in Å follow each position.
Atoms (fractional coordinates):
1 Rb 0.0000 0.0000 0.0000  14 In 3.77-4.22, 4 Pd 3.77
2 Rb 0.5000 0.5000 0.5000  14 In 3.77-4.22, 4 Pd 3.77
3 In 0.0000 0.1964 0.3439  3 Pd 2.76-2.88
4 In 0.0000 0.1964 0.6561  3 Pd 2.76-2.88
5 In 0.0000 0.5000 0.0000  2 Pd 2.64
6 In 0.0000 0.8036 0.3439  3 Pd 2.76-2.88
7 In 0.0000 0.8036 0.6561  3 Pd 2.76-2.88
8 In 0.5000 0.0000 0.5000  2 Pd 2.64
9 In 0.5000 0.3036 0.1561  3 Pd 2.76-2.88
10 In 0.5000 0.3036 0.8439  3 Pd 2.76-2.88
11 In 0.5000 0.6964 0.1561  3 Pd 2.76-2.88
12 In 0.5000 0.6964 0.8439  3 Pd 2.76-2.88
13 Pd 0.0000 0.5000 0.2329  7 In 2.64-2.88
14 Pd 0.0000 0.5000 0.7671  7 In 2.64-2.88
15 Pd 0.5000 0.0000 0.2671  7 In 2.64-2.88
16 Pd 0.5000 0.0000 0.7329  7 In 2.64-2.88

=====

Q: Which of these has the highest energy of formation from the pure elements?
A: Rb3InPd